# 1
Below is a relaxed La2Sm9Sc crystal, with properties calculated at the PBE level.

abc: 5.1182 5.1182 15.3434
angles: 90.00 90.00 90.00
With the nearest neighbours (Å) after each atom.
Space group P4/mmm (No. 123)
One atom of each set of equivalent atoms:
1 La 0.0000 0.0000 0.1695 [2 per cell]  12 Sm 3.62-3.67
2 Sm 0.0000 0.5000 0.0000 [2 per cell]  8 Sm 3.62-3.66, 4 La 3.65
3 Sm 0.0000 0.5000 0.3408 [4 per cell]  2 Sc 3.54, 8 Sm 3.54-3.65, 2 La 3.67
4 Sm 0.5000 0.5000 0.1708 [2 per cell]  4 La 3.62, 8 Sm 3.65-3.66
5 Sm 0.5000 0.5000 0.5000 [1 per cell]  8 Sm 3.54, 4 Sc 3.62
6 Sc 0.0000 0.0000 0.5000 [1 per cell]  12 Sm 3.54-3.62

Computed properties:
Energy of formation, eV per atom: 0.03



# 2
Below is a relaxed AsOs2Se crystal, with properties calculated at the PBE level.

abc: 2.8880 3.9420 6.5859
angles: 90.00 90.00 90.00
With the nearest neighbours (Å) after each atom.
Space group Pmm2 (No. 25)
One atom of each set of equivalent atoms:
1 As 0.0000 0.0000 0.0000 [1 per cell]  1 Os 2.45
2 Os 0.0000 0.0000 0.3719 [1 per cell]  1 As 2.45, 4 Os 2.71, 4 Se 2.73
3 Os 0.5000 0.5000 0.1923 [1 per cell]  1 Se 2.41
4 Se 0.5000 0.5000 0.5583 [1 per cell]  1 Os 2.41

Computed properties:
Energy relative to the lowest polymorph listed for this composition, eV/atom: 0.177



# 3
Below is a relaxed Pm2Dy6YEr3 crystal, with properties calculated at the PBE level.

abc: 6.1574 10.6547 11.7794
angles: 90.00 99.97 90.00
With the nearest neighbours (Å) after each atom.
Space group C2/m (No. 12)
One atom of each set of equivalent atoms:
1 Pm 0.0000 0.1666 0.0000 [4 per cell]  3 Pm 3.55, 3 Y 3.55, 6 Dy 3.58-3.59
2 Dy 0.2482 0.1667 0.7467 [8 per cell]  3 Er 3.52, 6 Dy 3.55, 2 Pm 3.58-3.59, 1 Y 3.59
3 Dy 0.2481 0.5000 0.7465 [4 per cell]  3 Er 3.52, 6 Dy 3.55, 1 Y 3.58, 2 Pm 3.59
4 Y 0.0000 0.5000 0.0000 [2 per cell]  6 Pm 3.55, 6 Dy 3.58-3.59
5 Er 0.0000 0.0000 0.5000 [2 per cell]  6 Dy 3.52, 6 Er 3.55-3.56
6 Er 0.0000 0.3337 0.5000 [4 per cell]  6 Dy 3.52, 6 Er 3.54-3.56

Computed properties:
Energy of formation, eV per atom: 0.02



# 4
Below is a relaxed ThInH6Ru2 crystal, with properties calculated at the PBE level.

abc: 4.6572 4.6572 16.2974
angles: 90.00 90.00 120.00
With the nearest neighbours (Å) after each atom.
Space group R-3m (No. 166, hexagonal axes)
One atom of each set of equivalent atoms:
1 Th 0.0000 0.0000 0.0000 [3 per cell]  12 H 2.49
2 In 0.0000 0.0000 0.5000 [3 per cell]  6 H 2.34
3 H 0.0237 0.5119 0.9464 [18 per cell]  1 Ru 1.66, 1 H 1.76
4 Ru 0.0000 0.0000 0.2124 [6 per cell]  3 H 1.66

Computed properties:
Electronic total energy, eV per atom: -5.135



# 5
Below is a relaxed H2IBr crystal, with properties calculated at the PBE level.

abc: 6.3458 6.3458 6.3458
angles: 90.00 90.00 90.00
With the nearest neighbours (Å) after each atom.
Space group Fm-3m (No. 225)
One atom of each set of equivalent atoms:
1 H 0.2500 0.2500 0.2500 [8 per cell]  4 Br 2.75, 4 I 2.75
2 I 0.0000 0.0000 0.0000 [4 per cell]  8 H 2.75
3 Br 0.0000 0.0000 0.5000 [4 per cell]  8 H 2.75

Computed properties:
Energy relative to the lowest polymorph listed for this composition, eV/atom: 1.362



# 6
Below is a relaxed LuZrAlAu crystal, with properties calculated at the PBE level.

abc: 6.9737 6.9737 6.9737
angles: 90.00 90.00 90.00
With the nearest neighbours (Å) after each atom.
Space group F-43m (No. 216)
One atom of each set of equivalent atoms:
1 Lu 0.0000 0.0000 0.0000 [4 per cell]  4 Au 3.02, 4 Al 3.02
2 Zr 0.0000 0.0000 0.5000 [4 per cell]  4 Al 3.02, 4 Au 3.02
3 Al 0.2500 0.2500 0.7500 [4 per cell]  4 Zr 3.02, 4 Lu 3.02
4 Au 0.2500 0.2500 0.2500 [4 per cell]  4 Zr 3.02, 4 Lu 3.02

Computed properties:
Energy of formation, eV per atom: -0.43